(1)
DFT (PBE-GGA) results for an optimized crystal structure of Co3C.

## Properties
The value obtained for the formation energy is 0.214 eV per atom. The theoretical density is 8.25 Mg/m³. As for the crystal system: hexagonal. As for the space group: No. 187.

Cell lengths 2.603, 2.603, 6.482 Å; angles 90.00, 90.00, 120.00 degrees
Site moments in Bohr magnetons follow the coordinates.
Sites, in units of the cell vectors:
1 C 0.000 0.000 0.000  -0.05
2 Co 0.000 0.000 0.500  1.82
3 Co 0.667 0.333 0.189  0.77
4 Co 0.667 0.333 0.811  0.77

=====

(2)
DFT (PBE-GGA) results for an optimized crystal structure of Co2C.

## Properties
For the energy above the lowest structure with this stoichiometry, the calculation gives 0.384 eV per atom. The value obtained for the formation energy is 0.491 eV per atom. The theoretical density is 7.67 Mg/m³. As for the crystal system: monoclinic. As for the space group: No. 12.

Cell lengths 4.210, 4.210, 2.593 Å; angles 90.32, 90.32, 37.73 degrees
Site moments in Bohr magnetons follow the coordinates.
Sites, in units of the cell vectors:
1 Co 0.134 0.134 0.764  0.39
2 Co 0.866 0.866 0.236  0.39
3 C 0.500 0.500 0.000  -0.03